Computed, not measured: PtAu2Cl at its PBEsol-relaxed geometry at the meta-GGA SCAN level of DFT.

The structure in POSCAR format:
```
PtAu2Cl
1.0
-2.214 -1.304 -1.054
2.960 -3.461 -1.933
-0.406 -2.664 4.149
Au Pt Cl
2 1 1
Cartesian
-0.203 -1.332 2.075 Au
1.480 -1.731 -0.966 Au
-1.107 -0.652 -0.527 Pt
0.170 -3.715 0.581 Cl
```

Output
Formation energy from raw total energies   447 meV per atom
Crystal system   tetragonal
Symmetry   P4/mmm
Total magnetic moment   0.00 μB/atom

Computed, not measured: Dy4Te7 at its PBEsol-relaxed geometry at the meta-GGA SCAN level of DFT.

The structure in POSCAR format:
```
Dy4Te7
1.0
-1.017 1.581 3.850
-4.147 -0.725 -0.798
1.444 -15.840 6.885
Te Dy
7 4
Cartesian
-0.249 -2.058 3.164 Te
0.488 -10.136 6.675 Te
-1.626 -5.275 1.737 Te
-0.889 -13.353 5.248 Te
-1.860 -7.492 4.969 Te
0.000 0.000 0.000 Te
0.722 -7.920 3.443 Te
0.013 -4.933 4.413 Dy
0.750 -13.016 7.927 Dy
-1.888 -2.395 0.485 Dy
-1.151 -10.479 3.999 Dy
```

Output
Formation energy from raw total energies   -1366 meV per atom
Crystal system   tetragonal
Symmetry   P-4m2
Total magnetic moment   0.00 μB/atom

Computed, not measured: Al2HgBr at its PBEsol-relaxed geometry at the meta-GGA SCAN level of DFT.

The structure in POSCAR format:
```
Al2HgBr
1.0
-1.474 -2.676 1.350
1.762 -2.081 1.929
-2.142 3.380 8.495
Hg Br Al
1 1 2
Cartesian
-0.342 -0.613 2.543 Hg
-1.082 -0.345 6.400 Br
-2.079 3.240 8.288 Al
-1.419 -0.970 8.925 Al
```

Output
Formation energy from raw total energies   -48 meV per atom
Crystal system   trigonal
Symmetry   R3m
Total magnetic moment   0.00 μB/atom

Computed, not measured: ZrMoBr4 at its PBEsol-relaxed geometry at the meta-GGA SCAN level of DFT.

The structure in POSCAR format:
```
ZrMoBr4
1.0
5.904 0.000 0.000
2.952 5.113 0.000
2.952 1.704 4.820
Br Mo Zr
4 1 1
Cartesian
4.427 2.556 1.807 Br
5.904 3.409 4.219 Br
7.381 2.556 1.807 Br
5.904 5.114 1.807 Br
8.856 5.113 3.615 Mo
0.000 0.000 0.000 Zr
```

Output
Formation energy from raw total energies   1152 meV per atom
Crystal system   cubic
Symmetry   F-43m
Total magnetic moment   0.61 μB/atom

Computed, not measured: BaTcW at its PBEsol-relaxed geometry at the meta-GGA SCAN level of DFT.

The structure in POSCAR format:
```
BaTcW
1.0
-3.865 2.091 1.379
-4.087 -1.987 -0.749
-2.410 -1.712 3.532
Ba Tc W
1 1 1
Cartesian
-5.181 -0.804 2.081 Ba
-2.591 -0.402 1.040 Tc
0.000 0.000 0.000 W
```

Output
Crystal system   cubic
Energy of formation   1.71 eV/atom
Symmetry   F-43m
Total magnetic moment   0.00 μB/atom

Computed, not measured: Li2Mn3FeO8 at its PBEsol-relaxed geometry at the meta-GGA SCAN level of DFT.

The structure in POSCAR format:
```
Li2Mn3FeO8
1.0
-4.591 -0.028 3.314
-5.005 -1.525 -2.163
-2.323 -4.933 1.524
Li Mn Fe O
2 3 1 8
Cartesian
-1.474 -0.802 0.331 Li
-10.445 -5.684 2.343 Li
-3.457 -2.481 2.419 Mn
-4.798 -0.776 0.575 Mn
-3.664 -3.229 -0.320 Mn
-5.959 -3.243 1.337 Fe
-3.119 -1.697 0.700 O
-5.185 -1.713 2.188 O
-4.167 -3.915 1.385 O
-5.371 -2.385 -0.270 O
-6.547 -4.101 2.944 O
-7.751 -2.571 1.289 O
-6.733 -4.773 0.485 O
-8.800 -4.789 1.974 O
```

Output
Formation energy from raw total energies   -2161 meV per atom
Crystal system   trigonal
Symmetry   R-3m
Total magnetic moment   0.64 μB/atom

Computed, not measured: Be22W at its PBEsol-relaxed geometry at the meta-GGA SCAN level of DFT.

The structure in POSCAR format:
```
Be22W
1.0
8.148 0.000 0.000
4.074 7.057 0.000
4.074 2.352 6.653
Be W
44 2
Cartesian
4.074 4.704 0.832 Be
6.111 1.176 0.832 Be
4.074 2.352 4.158 Be
2.037 1.176 0.832 Be
8.148 2.352 4.158 Be
6.111 5.880 4.158 Be
8.148 4.704 0.832 Be
10.185 5.880 4.158 Be
2.977 2.985 0.768 Be
5.171 1.719 2.559 Be
4.074 3.619 2.559 Be
4.074 1.086 0.768 Be
5.171 2.985 0.768 Be
2.977 1.719 2.559 Be
8.148 1.267 0.896 Be
8.148 8.142 5.757 Be
11.125 2.985 5.757 Be
5.171 6.423 0.896 Be
11.125 6.423 0.896 Be
5.171 2.985 5.757 Be
10.070 7.040 6.314 Be
11.132 5.200 6.314 Be
14.375 8.299 4.533 Be
13.313 7.686 2.798 Be
14.375 7.040 6.314 Be
13.313 5.200 6.314 Be
11.132 7.686 2.798 Be
10.070 8.299 4.533 Be
12.222 5.798 2.798 Be
12.222 4.571 4.533 Be
11.160 8.929 6.314 Be
13.285 8.929 6.314 Be
9.238 6.561 2.003 Be
10.301 4.720 2.003 Be
5.996 3.462 3.783 Be
7.058 4.075 5.518 Be
7.086 2.832 2.003 Be
9.211 2.832 2.003 Be
8.148 5.963 5.518 Be
8.148 7.190 3.783 Be
9.238 4.075 5.518 Be
10.301 3.462 3.783 Be
7.058 6.561 2.003 Be
5.996 4.720 2.003 Be
12.222 7.057 4.990 W
8.148 4.704 3.326 W
```

Output
Crystal system   cubic
Energy of formation   -0.02 eV/atom
Symmetry   Fd-3m
Total magnetic moment   0.00 μB/atom

Computed, not measured: Li3Ag at its PBEsol-relaxed geometry at the meta-GGA SCAN level of DFT.

The structure in POSCAR format:
```
Li3Ag
1.0
-4.341 3.563 -0.982
-0.175 -5.330 -2.016
-4.071 -2.813 7.792
Ag Li
4 12
Cartesian
0.000 0.000 0.000 Ag
-2.035 -1.407 3.896 Ag
-6.006 -1.511 4.518 Ag
-2.581 -3.069 0.277 Ag
-2.258 -0.884 -1.499 Li
-4.294 -2.290 2.397 Li
-0.087 -2.665 -1.008 Li
-2.171 1.781 -0.491 Li
-4.206 0.375 3.405 Li
-2.123 -4.072 2.888 Li
-3.897 -6.013 3.994 Li
-4.690 1.432 0.800 Li
-6.148 -4.166 3.485 Li
-3.806 -3.249 5.040 Li
-4.781 -1.331 -0.245 Li
-2.439 -0.415 1.309 Li
```

Output
Crystal system   hexagonal
Energy of formation   -0.14 eV/atom
Symmetry   P6_3/mmc
Total magnetic moment   0.00 μB/atom

Computed, not measured: KLi2Ag at its PBEsol-relaxed geometry at the meta-GGA SCAN level of DFT.

The structure in POSCAR format:
```
KLi2Ag
1.0
4.699 0.000 0.000
0.000 4.699 0.000
-2.349 -2.349 4.604
Ag K Li
1 1 2
Cartesian
2.349 2.349 0.000 Ag
0.000 2.349 2.302 K
0.000 0.000 0.000 Li
2.349 0.000 2.302 Li
```

Output
Crystal system   tetragonal
Energy of formation   0.17 eV/atom
Symmetry   I-4m2
Total magnetic moment   0.00 μB/atom

Computed, not measured: InRh3 at its PBEsol-relaxed geometry at the meta-GGA SCAN level of DFT.

The structure in POSCAR format:
```
InRh3
1.0
-1.500 -0.600 -4.169
-2.474 -4.695 1.566
-2.737 4.800 0.294
In Rh
2 6
Cartesian
-3.687 -1.980 -1.984 In
-3.024 1.485 -0.324 In
-3.819 2.805 -2.625 Rh
-5.085 0.402 -1.824 Rh
-2.419 0.349 -2.776 Rh
-2.892 -3.300 0.317 Rh
-1.626 -0.897 -0.484 Rh
-4.292 -0.844 0.467 Rh
```

Output
Crystal system   hexagonal
Energy of formation   -0.16 eV/atom
Symmetry   P6_3/mmc
Total magnetic moment   0.00 μB/atom

Computed, not measured: Fe2CuRu at its PBEsol-relaxed geometry at the meta-GGA SCAN level of DFT.

The structure in POSCAR format:
```
Fe2CuRu
1.0
-0.895 -0.384 -2.359
-3.088 -1.335 1.388
-1.988 4.603 0.004
Cu Fe Ru
1 2 1
Cartesian
-2.985 1.442 -0.483 Cu
-1.497 3.467 0.003 Fe
-0.491 1.137 0.001 Fe
-1.991 -0.860 -0.485 Ru
```

Output
Crystal system   orthorhombic
Energy of formation   0.15 eV/atom
Symmetry   Pmmm
Total magnetic moment   1.26 μB/atom

Computed, not measured: Rb2CaSiF at its PBEsol-relaxed geometry at the meta-GGA SCAN level of DFT.

The structure in POSCAR format:
```
Rb2CaSiF
1.0
-1.261 4.376 -1.837
-0.296 -1.969 -4.489
-7.119 -1.567 1.156
Ca Si Rb F
1 1 2 1
Cartesian
-4.338 0.420 -2.585 Ca
-3.560 -0.783 0.578 Si
-0.148 -0.985 -2.244 Rb
-0.631 2.188 -0.918 Rb
0.000 0.000 0.000 F
```

Output
Formation energy from raw total energies   -609 meV per atom
Crystal system   tetragonal
Symmetry   P4/mmm
Total magnetic moment   0.21 μB/atom